! La3DyEr3Se8 PBE relaxed; values from VASP
! SG: R-3m (166)
! Volume in Å³/atom: 27.11
! E_form (uncorrected) in eV/atom: -1.90
! Raw total energy in eV per atom: -5.9636
&SYSTEM
  ibrav = 0, nat = 15, ntyp = 4
/
ATOMIC_SPECIES
La 138.91 La.upf
Dy 162.50 Dy.upf
Er 167.26 Er.upf
Se 78.96 Se.upf
ATOMIC_POSITIONS angstrom
La -2.0589 -1.1887 6.9221
La -2.0589 1.1887 13.8443
La 0.0000 2.3774 6.9221
Dy 0.0000 0.0000 10.3832
Er -4.1178 0.0000 10.3832
Er -2.0589 1.1887 3.4611
Er 2.0589 1.1887 3.4611
Se -2.1042 -1.2149 12.0009
Se 0.0000 0.0000 5.0425
Se 0.0000 -2.4298 8.7655
Se -2.1042 1.2149 8.7655
Se 2.1042 -1.2149 12.0009
Se 0.0000 2.4298 12.0009
Se 0.0000 0.0000 15.7239
Se 2.1042 1.2149 8.7656
CELL_PARAMETERS angstrom
4.1178 2.3774 6.9221
-4.1178 2.3774 6.9221
0.0000 -4.7548 6.9221

---

! La2DyEr3Se6 PBE relaxed; values from VASP
! SG: C2/m (12)
! Volume in Å³/atom: 25.02
! E_form (uncorrected) in eV/atom: -1.80
! Raw total energy in eV per atom: -5.8924
&SYSTEM
  ibrav = 0, nat = 12, ntyp = 4
/
ATOMIC_SPECIES
La 138.91 La.upf
Dy 162.50 Dy.upf
Er 167.26 Er.upf
Se 78.96 Se.upf
ATOMIC_POSITIONS angstrom
La 2.3093 0.0000 2.7048
La 13.6839 0.0000 5.4099
Dy 9.0582 0.0000 0.0000
Er 1.3019 0.0000 6.7655
Er 7.9966 0.0000 4.0574
Er 14.6913 0.0000 1.3492
Se -1.4801 0.0000 6.0894
Se 4.0703 0.0000 7.5698
Se 5.2748 0.0000 3.2823
Se 10.7184 0.0000 4.8324
Se 11.9229 0.0000 0.5450
Se 17.4733 0.0000 2.0254
CELL_PARAMETERS angstrom
9.0582 -2.0425 0.0000
9.0582 2.0425 0.0000
-2.1233 0.0000 8.1148

---

! LaSm3Dy2Er6 PBE relaxed; values from VASP
! Formation energy from the elements in eV per atom: 0.019
! SG: C2/m (12)
! Volume in Å³/atom: 31.92
! Raw total energy in eV per atom: -4.6194
&SYSTEM
  ibrav = 0, nat = 12, ntyp = 4
/
ATOMIC_SPECIES
La 138.91 La.upf
Sm 150.36 Sm.upf
Dy 162.50 Dy.upf
Er 167.26 Er.upf
ATOMIC_POSITIONS angstrom
La 0.0000 0.0000 0.0000
Sm 2.0644 3.5638 5.7909
Sm 2.0644 0.0000 5.7909
Sm 2.0644 -3.5638 5.7909
Dy 3.0904 1.7840 0.0000
Dy 3.0904 -1.7840 0.0000
Er 1.0400 1.7899 2.8996
Er 0.0109 0.0000 8.6814
Er 1.0400 -1.7899 2.8996
Er 3.0888 1.7899 8.6821
Er 4.1178 0.0000 2.9003
Er 3.0888 -1.7899 8.6821
CELL_PARAMETERS angstrom
3.0904 -5.3504 0.0000
3.0904 5.3504 0.0000
-2.0521 0.0000 11.5818

---

! La2SmDyEr5 PBE relaxed; values from VASP
! Formation energy from the elements in eV per atom: 0.255
! SG: I4/mcm (140)
! Volume in Å³/atom: 32.44
! Raw total energy in eV per atom: -4.4103
&SYSTEM
  ibrav = 0, nat = 18, ntyp = 4
/
ATOMIC_SPECIES
La 138.91 La.upf
Sm 150.36 Sm.upf
Dy 162.50 Dy.upf
Er 167.26 Er.upf
ATOMIC_POSITIONS angstrom
La 5.3150 1.0162 0.0000
La 1.0162 3.2826 0.0000
La 3.2826 1.0162 7.9007
La -1.0162 3.2826 7.9007
Sm 4.2988 0.0000 3.9504
Sm 0.0000 4.2988 3.9504
Dy 0.0000 0.0000 3.9504
Dy 0.0000 0.0000 11.8511
Er 0.0000 0.0000 0.0000
Er 2.4503 1.8484 -2.2451
Er 2.4503 -1.8484 5.6557
Er 2.4503 1.8484 2.2451
Er 2.4503 -1.8484 10.1458
Er 0.0000 0.0000 7.9007
Er 1.8484 6.1472 -2.2451
Er 1.8484 2.4503 5.6557
Er 1.8484 6.1472 2.2451
Er 1.8484 2.4503 10.1458
CELL_PARAMETERS angstrom
-4.2988 4.2988 7.9007
4.2988 -4.2988 7.9007
4.2988 4.2988 -7.9007

---

! LaSm2Dy5Er PBE relaxed; values from VASP
! Formation energy from the elements in eV per atom: 0.270
! SG: I4/mcm (140)
! Volume in Å³/atom: 33.02
! Raw total energy in eV per atom: -4.3901
&SYSTEM
  ibrav = 0, nat = 18, ntyp = 4
/
ATOMIC_SPECIES
La 138.91 La.upf
Sm 150.36 Sm.upf
Dy 162.50 Dy.upf
Er 167.26 Er.upf
ATOMIC_POSITIONS angstrom
La 0.0000 0.0000 3.8420
La 0.0000 0.0000 11.5260
Sm 5.4174 1.0202 0.0000
Sm 1.0202 3.3770 0.0000
Sm 3.3770 1.0202 7.6840
Sm -1.0202 3.3770 7.6840
Dy 0.0000 0.0000 0.0000
Dy 2.5697 1.8275 -2.0779
Dy 2.5697 -1.8275 5.6061
Dy 2.5697 1.8275 2.0779
Dy 2.5697 -1.8275 9.7619
Dy 0.0000 0.0000 7.6840
Dy 1.8275 6.2247 -2.0779
Dy 1.8275 2.5697 5.6061
Dy 1.8275 6.2247 2.0779
Dy 1.8275 2.5697 9.7619
Er 4.3972 0.0000 3.8420
Er 0.0000 4.3972 3.8420
CELL_PARAMETERS angstrom
-4.3972 4.3972 7.6840
4.3972 -4.3972 7.6840
4.3972 4.3972 -7.6840

---

! LaSmDy3Er PBE relaxed; values from VASP
! Formation energy from the elements in eV per atom: 0.198
! SG: C2/m (12)
! Volume in Å³/atom: 33.07
! Raw total energy in eV per atom: -4.4716
&SYSTEM
  ibrav = 0, nat = 12, ntyp = 4
/
ATOMIC_SPECIES
La 138.91 La.upf
Sm 150.36 Sm.upf
Dy 162.50 Dy.upf
Er 167.26 Er.upf
ATOMIC_POSITIONS angstrom
La 2.8599 0.0000 0.1985
La 16.8110 0.0000 6.8880
Sm 8.7771 0.0000 5.1783
Sm 10.8938 0.0000 1.9081
Dy 0.3820 0.0000 5.2030
Dy 5.4565 0.0000 5.3594
Dy 6.6142 0.0000 1.9452
Dy 13.0567 0.0000 5.1413
Dy 14.2144 0.0000 1.7270
Dy 19.2889 0.0000 1.8834
Er 2.9204 0.0000 3.2442
Er 16.7505 0.0000 3.8423
CELL_PARAMETERS angstrom
9.8831 -2.8335 0.0000
9.8831 2.8335 0.0000
-0.0952 0.0000 7.0865